Record 1
A plane-wave DFT calculation with GGA-PBE was carried out for an optimized crystal structure of LiTlRuO4.

Unit cell a=5.6404 b=5.8957 c=7.8971 alpha=90.00 beta=83.33 gamma=90.00
Closest atoms and distances in Å follow each position.
Element x y z (fractional)
Li: 0.8809 0.7500 0.4787  3 O 1.96-2.02
Li: 0.1191 0.2500 0.5213  3 O 1.96-2.02
Ru: 0.3542 0.7500 0.2734  4 O 1.77-1.81
Ru: 0.6458 0.2500 0.7266  4 O 1.77-1.81
O: 0.6600 0.7500 0.3052  1 Ru 1.77, 1 Li 1.96
O: 0.1771 0.9905 0.3544  1 Ru 1.81, 1 Li 2.02
O: 0.3400 0.2500 0.6948  1 Ru 1.77, 1 Li 1.96
O: 0.1771 0.5095 0.3544  1 Ru 1.81, 1 Li 2.02
O: 0.6588 0.2500 0.9541  1 Ru 1.81
O: 0.8229 0.0095 0.6456  1 Ru 1.81, 1 Li 2.02
O: 0.8229 0.4905 0.6456  1 Ru 1.81, 1 Li 2.02
O: 0.3412 0.7500 0.0459  1 Ru 1.81
Tl: 0.8335 0.7500 0.9354  5 O 2.76-3.09
Tl: 0.1665 0.2500 0.0646  5 O 2.76-3.09

Calculated values
DFT total energy	-81.52	eV/cell
crystal system	monoclinic
symmetry	P2_1/m, No. 11
formation energy from raw total energies	-1.053	eV per atom

***

Record 2
A plane-wave DFT calculation with GGA-PBE was carried out for an optimized crystal structure of BeAsSN2.

Unit cell a=3.5267 b=3.5267 c=6.1523 alpha=90.00 beta=90.00 gamma=90.00
Closest atoms and distances in Å follow each position.
Element x y z (fractional)
N: 0.5000 0.0000 0.0000  2 As 1.76
N: 0.0000 0.5000 0.0000  2 As 1.76
As: 0.0000 0.0000 0.0000  4 N 1.76
S: 0.0000 0.0000 0.5000  4 Be 2.49
Be: 0.5000 0.5000 0.5000  4 S 2.49

Calculated values
DFT total energy	-22.80	eV/cell
crystal system	tetragonal
symmetry	P4/mmm, No. 123
formation energy from raw total energies	1.270	eV per atom

***

Record 3
A plane-wave DFT calculation with GGA-PBE was carried out for an optimized crystal structure of PmSn3Pd.

Unit cell a=4.5004 b=4.6010 c=12.5971 alpha=100.52 beta=90.00 gamma=90.00
Closest atoms and distances in Å follow each position.
Element x y z (fractional)
Sn: 0.0000 0.7177 0.4354  1 Pd 2.56, 2 Sn 2.80
Sn: 0.5000 0.5578 0.1157  2 Pd 2.65, 1 Sn 2.87
Sn: 0.5000 0.4422 0.8843  2 Pd 2.65, 1 Sn 2.87
Sn: 0.0000 0.9416 0.8832  2 Pd 2.68, 1 Sn 2.89
Sn: 0.0000 0.0584 0.1168  2 Pd 2.68, 1 Sn 2.89
Sn: 0.0000 0.2823 0.5646  1 Pd 2.56, 2 Sn 2.80
Pm: 0.5000 0.1678 0.3356  10 Sn 3.45-3.62, 4 Pd 3.48
Pm: 0.5000 0.8322 0.6644  10 Sn 3.45-3.62, 4 Pd 3.48
Pd: 0.0000 0.3858 0.7715  5 Sn 2.56-2.68
Pd: 0.0000 0.6142 0.2285  5 Sn 2.56-2.68

Calculated values
DFT total energy	-49.67	eV/cell
crystal system	orthorhombic
DFT formation energy	-0.5767	eV/atom
symmetry	Cmmm, No. 65

***

Record 4
A plane-wave DFT calculation with GGA-PBE was carried out for an optimized crystal structure of Sr4WN4.

Unit cell a=8.8452 b=6.8529 c=6.8529 alpha=90.00 beta=90.00 gamma=90.00
Closest atoms and distances in Å follow each position.
Element x y z (fractional)
N: 0.8641 0.7839 0.0000  1 W 1.91
N: 0.6359 0.7161 0.5000  1 W 1.91
N: 0.1359 0.0000 0.7839  1 W 1.91
N: 0.1359 0.0000 0.2161  1 W 1.91
N: 0.3641 0.5000 0.7161  1 W 1.91
N: 0.3641 0.5000 0.2839  1 W 1.91
N: 0.6359 0.2839 0.5000  1 W 1.91
N: 0.8641 0.2161 0.0000  1 W 1.91
Sr: 0.3221 0.2561 0.0000  4 N 2.59-2.83
Sr: 0.1779 0.7561 0.5000  4 N 2.59-2.83
Sr: 0.6779 0.0000 0.2561  4 N 2.59-2.83
Sr: 0.8221 0.5000 0.2439  4 N 2.59-2.83
Sr: 0.3221 0.7439 0.0000  4 N 2.59-2.83
Sr: 0.8221 0.5000 0.7561  4 N 2.59-2.83
Sr: 0.1779 0.2439 0.5000  4 N 2.59-2.83
Sr: 0.6779 0.0000 0.7439  4 N 2.59-2.83
W: 0.5000 0.5000 0.5000  4 N 1.91
W: 0.0000 0.0000 0.0000  4 N 1.91

Calculated values
DFT total energy	-119.21	eV/cell
crystal system	tetragonal
symmetry	P4_2/nmc, No. 137
formation energy from raw total energies	-0.736	eV per atom

***

Record 5
A plane-wave DFT calculation with GGA-PBE was carried out for an optimized crystal structure of CsAcSe2.

Unit cell a=3.9566 b=3.9566 c=8.6112 alpha=90.00 beta=90.00 gamma=90.00
Closest atoms and distances in Å follow each position.
Element x y z (fractional)
Ac: 0.5000 0.5000 0.0000  8 Se 3.30
Cs: 0.5000 0.5000 0.5000  8 Se 3.79, 4 Cs 3.96
Se: 0.0000 0.0000 0.7964  4 Ac 3.30, 1 Se 3.51
Se: 0.0000 0.0000 0.2036  4 Ac 3.30, 1 Se 3.51

Calculated values
DFT total energy	-18.41	eV/cell
crystal system	tetragonal
symmetry	P4/mmm, No. 123
formation energy from raw total energies	-1.620	eV per atom

***

Record 6
A plane-wave DFT calculation with GGA-PBE was carried out for an optimized crystal structure of La6PmNd8.

Unit cell a=6.4486 b=6.4486 c=15.4120 alpha=77.92 beta=77.92 gamma=60.00
Closest atoms and distances in Å follow each position.
Element x y z (fractional)
La: 0.6001 0.2662 0.2005  1 Pm 3.69, 5 Nd 3.69, 6 La 3.72-3.73
La: 0.9332 0.6001 0.2005  1 Pm 3.69, 5 Nd 3.69, 6 La 3.72-3.73
La: 0.7338 0.0668 0.7995  1 Pm 3.69, 5 Nd 3.69, 6 La 3.72-3.73
La: 0.2662 0.9332 0.2005  1 Pm 3.69, 5 Nd 3.69, 6 La 3.72-3.73
La: 0.0668 0.3999 0.7995  1 Pm 3.69, 5 Nd 3.69, 6 La 3.72-3.73
La: 0.3999 0.7338 0.7995  1 Pm 3.69, 5 Nd 3.69, 6 La 3.72-3.73
Pm: 0.0000 0.0000 0.0000  6 La 3.69, 6 Nd 3.72
Nd: 0.8663 0.1997 0.4010  9 Nd 3.66-3.72, 3 La 3.69
Nd: 0.4671 0.1337 0.5990  9 Nd 3.66-3.72, 3 La 3.69
Nd: 0.6667 0.6667 0.0000  6 La 3.69, 3 Nd 3.72, 3 Pm 3.72
Nd: 0.1337 0.8003 0.5990  9 Nd 3.66-3.72, 3 La 3.69
Nd: 0.5329 0.8663 0.4010  9 Nd 3.66-3.72, 3 La 3.69
Nd: 0.3333 0.3333 0.0000  6 La 3.69, 3 Nd 3.72, 3 Pm 3.72
Nd: 0.1997 0.5329 0.4010  9 Nd 3.66-3.72, 3 La 3.69
Nd: 0.8003 0.4671 0.5990  9 Nd 3.66-3.72, 3 La 3.69

Calculated values
DFT total energy	-72.41	eV/cell
crystal system	trigonal
DFT formation energy	0.0034	eV/atom
symmetry	R-3, No. 148